First-principles (PBE-GGA) data for crystalline ReRh2C at its relaxed geometry, as listed in Alexandria. Values from VASP.

Computed properties:
As for the symmetry: I-42d. The formation energy is 3.638 eV/f.u. The electronic total energy comes out at -8.18 eV per atom.

```
&SYSTEM
  ibrav = 0, nat = 16, ntyp = 3
/
ATOMIC_SPECIES
Re 186.21 Re.upf
Rh 102.91 Rh.upf
C 12.01 C.upf
ATOMIC_POSITIONS crystal
Re 0.000 0.000 0.000
Re 0.000 0.500 0.250
Re 0.500 0.000 0.750
Re 0.500 0.500 0.500
Rh 0.175 0.250 0.625
Rh 0.250 0.675 0.875
Rh 0.250 0.825 0.375
Rh 0.325 0.250 0.125
Rh 0.675 0.750 0.125
Rh 0.750 0.175 0.375
Rh 0.750 0.325 0.875
Rh 0.825 0.750 0.625
C 0.000 0.000 0.500
C 0.000 0.500 0.750
C 0.500 0.000 0.250
C 0.500 0.500 0.000
CELL_PARAMETERS angstrom
5.200 0.000 0.000
0.000 5.200 0.000
0.000 0.000 9.456
```

First-principles (PBE-GGA) data for crystalline PrTmLuHf at its relaxed geometry, as listed in Alexandria. Values from VASP.

Computed properties:
As for the symmetry: F-43m. The formation energy is 1.094 eV/f.u. The electronic total energy comes out at -5.66 eV per atom.

```
&SYSTEM
  ibrav = 0, nat = 16, ntyp = 4
/
ATOMIC_SPECIES
Pr 140.91 Pr.upf
Tm 168.93 Tm.upf
Lu 174.97 Lu.upf
Hf 178.49 Hf.upf
ATOMIC_POSITIONS crystal
Pr 0.000 0.000 0.000
Pr 0.000 0.500 0.500
Pr 0.500 0.000 0.500
Pr 0.500 0.500 0.000
Tm 0.250 0.250 0.250
Tm 0.250 0.750 0.750
Tm 0.750 0.250 0.750
Tm 0.750 0.750 0.250
Lu 0.250 0.250 0.750
Lu 0.250 0.750 0.250
Lu 0.750 0.250 0.250
Lu 0.750 0.750 0.750
Hf 0.000 0.000 0.500
Hf 0.000 0.500 0.000
Hf 0.500 0.000 0.000
Hf 0.500 0.500 0.500
CELL_PARAMETERS angstrom
7.721 0.000 0.000
0.000 7.721 0.000
0.000 0.000 7.721
```

First-principles (PBE-GGA) data for crystalline CsIn2Ag at its relaxed geometry, as listed in Alexandria. Values from VASP.

Computed properties:
As for the symmetry: Fm-3m. For the energy above the most stable polymorph in this dataset, the calculation gives 378.7 meV per atom. The formation energy is 1.169 eV/f.u. The electronic total energy comes out at -2.00 eV per atom.

```
&SYSTEM
  ibrav = 0, nat = 16, ntyp = 3
/
ATOMIC_SPECIES
Cs 132.91 Cs.upf
In 114.82 In.upf
Ag 107.87 Ag.upf
ATOMIC_POSITIONS crystal
Cs 0.000 0.000 0.000
Cs 0.000 0.500 0.500
Cs 0.500 0.000 0.500
Cs 0.500 0.500 0.000
In 0.250 0.250 0.250
In 0.250 0.250 0.750
In 0.250 0.750 0.250
In 0.250 0.750 0.750
In 0.750 0.250 0.250
In 0.750 0.250 0.750
In 0.750 0.750 0.250
In 0.750 0.750 0.750
Ag 0.000 0.000 0.500
Ag 0.000 0.500 0.000
Ag 0.500 0.000 0.000
Ag 0.500 0.500 0.500
CELL_PARAMETERS angstrom
7.979 0.000 0.000
0.000 7.979 0.000
0.000 0.000 7.979
```